# 1
Density functional theory data (PBE-GGA) for a relaxed Al2PtCl crystal.

a = 8.984 Å, b = 8.984 Å, c = 8.984 Å
α = 20.16°, β = 20.16°, γ = 20.16°
Atoms (fractional coordinates):
Al  0.997  0.997  0.997
Al  0.253  0.253  0.253
Pt  0.727  0.727  0.727
Cl  0.523  0.523  0.523

Values from the calculation:
Relative energy among the computed polymorphs   402 meV per atom
Energy relative to the elements, uncorrected   -0.385 eV per atom
SG   R3m (160)
Mass density   6269 kg/m3

=====

# 2
Density functional theory data (PBE-GGA) for a relaxed BaSn3W crystal.

a = 5.916 Å, b = 5.916 Å, c = 5.916 Å
α = 90.00°, β = 90.00°, γ = 90.00°
Last column: magnetic moment on the atom in μB.
Atoms (fractional coordinates):
Ba  0.000  0.000  0.000  0.06
W  0.500  0.500  0.500  -0.94
Sn  0.000  0.500  0.000  0.09
Sn  0.000  0.000  0.500  0.04
Sn  0.500  0.000  0.000  0.06

Values from the calculation:
Relative energy among the computed polymorphs   2425 meV per atom
E_form   2439.0 meV per atom
SG   Pm-3m (221)
Mass density   5431 kg/m3

=====

# 3
Density functional theory data (PBE-GGA) for a relaxed Cs6Rb8Te crystal.

a = 11.703 Å, b = 11.703 Å, c = 11.703 Å
α = 72.37°, β = 72.37°, γ = 72.37°
Atoms (fractional coordinates):
Cs  0.173  0.462  0.612
Cs  0.388  0.827  0.538
Cs  0.538  0.388  0.827
Cs  0.462  0.612  0.173
Cs  0.612  0.173  0.462
Cs  0.827  0.538  0.388
Rb  0.093  0.688  0.969
Rb  0.031  0.907  0.312
Rb  0.312  0.031  0.907
Rb  0.752  0.752  0.752
Rb  0.248  0.248  0.248
Rb  0.688  0.969  0.093
Rb  0.969  0.093  0.688
Rb  0.907  0.312  0.031
Te  0.000  0.000  0.000

Values from the calculation:
Energy relative to the elements, uncorrected   -0.162 eV per atom
SG   R-3 (148)
Mass density   1887 kg/m3

=====

# 4
Density functional theory data (PBE-GGA) for a relaxed Nd4CoCu crystal.

a = 7.869 Å, b = 7.869 Å, c = 7.869 Å
α = 107.14°, β = 107.14°, γ = 114.25°
Atoms (fractional coordinates):
Nd  0.266  0.960  0.694
Nd  0.734  0.432  0.699
Nd  0.710  0.516  0.194
Nd  0.182  0.984  0.199
Nd  0.322  0.516  0.806
Nd  0.785  0.984  0.801
Nd  0.734  0.035  0.301
Nd  0.266  0.572  0.306
Co  0.749  0.749  0.000
Co  0.499  0.999  0.500
Cu  0.252  0.252  0.000
Cu  0.002  0.502  0.500

Values from the calculation:
Relative energy among the computed polymorphs   119 meV per atom
E_form   60.7 meV per atom
SG   I4_1md (109)
Mass density   6227 kg/m3

=====

# 5
Density functional theory data (PBE-GGA) for a relaxed PuHfSb2O crystal.

a = 3.899 Å, b = 3.899 Å, c = 14.286 Å
α = 90.00°, β = 90.00°, γ = 90.00°
Last column: magnetic moment on the atom in μB.
Atoms (fractional coordinates):
Pu  0.500  0.000  0.584  4.86
Pu  0.000  0.500  0.416  4.86
Hf  0.500  0.000  0.068  -0.04
Hf  0.000  0.500  0.932  -0.04
Sb  0.000  0.500  0.720  -0.07
Sb  0.000  0.500  0.141  -0.01
Sb  0.500  0.000  0.859  -0.01
Sb  0.500  0.000  0.280  -0.07
O  0.000  0.000  0.500  -0.14
O  0.500  0.500  0.500  -0.14

Values from the calculation:
Energy relative to the elements, uncorrected   -1.317 eV per atom
SG   P4/nmm (129)
Mass density   10431 kg/m3

=====

# 6
Density functional theory data (PBE-GGA) for a relaxed KRb2Ag crystal.

a = 5.726 Å, b = 6.117 Å, c = 6.117 Å
α = 90.00°, β = 90.00°, γ = 90.00°
Atoms (fractional coordinates):
K  0.500  0.000  0.000
Rb  0.000  0.000  0.500
Rb  0.000  0.500  0.000
Ag  0.500  0.500  0.500

Values from the calculation:
E_form   122.1 meV per atom
SG   P4/mmm (123)
Mass density   2464 kg/m3

=====

Size of the total moment list, top to bottom, in μB/cell: 0.00 0.68 0.00 0.00 9.31 0.00